Material: LiTmVO4
Method: DFT, PBE with a Hubbard U
State: relaxed

```
14
Lattice="-3.071 3.359 4.114 3.071 -3.359 4.114 3.071 3.359 -4.114" Properties=species:S:1:pos:R:3 pbc="T T T"
Li -1.536 1.679 2.057
Li 1.536 1.679 2.057
Tm 0.000 0.000 0.000
Tm 0.000 3.359 0.000
V 3.071 1.679 -0.960
V 0.000 1.679 5.074
O 3.071 -0.132 1.876
O 3.071 3.226 -1.876
O 1.462 1.679 0.064
O 1.609 -1.679 4.177
O 1.462 5.038 -0.064
O 1.609 1.679 4.050
O 0.000 0.132 5.990
O 0.000 3.491 2.237
```

Properties
- Total moment: 2.0 μB per cell
- Volume: 12.12 Å³/atom
- Energy: -7.355 eV/atom